Entry 1:
A plane-wave DFT calculation with GGA-PBE was carried out for an optimized crystal structure of IrSe2Cl.

Unit cell a=4.8832 b=3.7759 c=5.0146 alpha=90.00 beta=110.66 gamma=90.00
Closest atoms and distances in Å follow each position.
Space group P2/m (No. 10)
Inequivalent atoms, fractional coordinates:
Ir1 0.0000 0.0000 0.0000 [1 per cell]  4 Se 2.49, 2 Cl 2.51
Se1 0.3533 0.5000 0.1542 [2 per cell]  1 Se 2.45, 2 Ir 2.49
Cl1 0.0000 0.0000 0.5000 [1 per cell]  2 Ir 2.51

As for the energy above the most stable polymorph in this dataset: 0.29 eV per formula unit. Its uncorrected formation energy is -0.185 eV/atom.



Entry 2:
A plane-wave DFT calculation with GGA-PBE was carried out for an optimized crystal structure of K2Nd2HfSe6.

Unit cell a=7.2807 b=12.4360 c=8.2350 alpha=90.00 beta=107.63 gamma=90.00
Closest atoms and distances in Å follow each position.
Space group C2/m (No. 12)
Inequivalent atoms, fractional coordinates:
K1 0.0000 0.1717 0.0000 [4 per cell]  6 Se 3.32-3.43
Nd1 0.0000 0.3333 0.5000 [4 per cell]  6 Se 2.96-2.98
Hf1 0.0000 0.0000 0.5000 [2 per cell]  6 Se 2.71-2.73
Se1 0.2238 0.1538 0.7017 [8 per cell]  1 Hf 2.73, 2 Nd 2.96-2.98
Se2 0.2355 0.0000 0.3003 [4 per cell]  1 Hf 2.71, 2 Nd 2.97

Its uncorrected formation energy is -1.628 eV/atom.



Entry 3:
A plane-wave DFT calculation with GGA-PBE was carried out for an optimized crystal structure of Rb4U3AgSe8.

Unit cell a=8.5329 b=8.5329 c=23.9428 alpha=90.00 beta=90.00 gamma=120.00
Closest atoms and distances in Å follow each position.
Space group R-3m (No. 166, hexagonal axes)
Inequivalent atoms, fractional coordinates:
Rb1 0.0000 0.0000 0.0000 [3 per cell]  6 Se 3.40
Rb2 0.0000 0.5000 0.0000 [9 per cell]  6 Se 3.45-3.50
U1 0.0000 0.5000 0.5000 [9 per cell]  6 Se 2.87-2.92
Ag1 0.0000 0.0000 0.5000 [3 per cell]  6 Se 2.99
Se1 0.0000 0.0000 0.2324 [6 per cell]  3 U 2.92
Se2 0.0122 0.5061 0.7686 [18 per cell]  2 U 2.87, 1 Ag 2.99

Its uncorrected formation energy is -1.117 eV/atom.



Entry 4:
A plane-wave DFT calculation with GGA-PBE was carried out for an optimized crystal structure of K3InRh3O8.

Unit cell a=6.4054 b=6.4054 c=18.0434 alpha=90.00 beta=90.00 gamma=120.00
Closest atoms and distances in Å follow each position.
Space group R-3m (No. 166, hexagonal axes)
Inequivalent atoms, fractional coordinates:
K1 0.0000 0.5000 0.0000 [9 per cell]  6 O 2.73
In1 0.0000 0.0000 0.5000 [3 per cell]  6 O 2.21
Rh1 0.0000 0.5000 0.5000 [9 per cell]  6 O 2.08-2.10
O1 0.0000 0.0000 0.2221 [6 per cell]  3 Rh 2.10
O2 0.0178 0.5089 0.7755 [18 per cell]  2 Rh 2.08, 1 In 2.21

Its uncorrected formation energy is -1.123 eV/atom.



Entry 5:
A plane-wave DFT calculation with GGA-PBE was carried out for an optimized crystal structure of La8Ga3AuI4.

Unit cell a=9.0395 b=9.0395 c=22.7616 alpha=90.00 beta=90.00 gamma=120.00
Closest atoms and distances in Å follow each position.
Space group R-3m (No. 166, hexagonal axes)
Inequivalent atoms, fractional coordinates:
La1 0.0000 0.0000 0.2387 [6 per cell]  3 Ga 3.08, 3 I 3.38
La2 0.0041 0.5021 0.7617 [18 per cell]  2 Ga 3.06, 1 Au 3.10, 3 I 3.36-3.40
Ga1 0.0000 0.5000 0.5000 [9 per cell]  6 La 3.06-3.08
Au1 0.0000 0.0000 0.5000 [3 per cell]  6 La 3.10
I1 0.0000 0.0000 0.0000 [3 per cell]  6 La 3.36
I2 0.0000 0.5000 0.0000 [9 per cell]  6 La 3.38-3.40

Its uncorrected formation energy is -0.838 eV/atom.



Entry 6:
A plane-wave DFT calculation with GGA-PBE was carried out for an optimized crystal structure of TbPaMn2.

Unit cell a=4.8201 b=4.8201 c=3.3755 alpha=90.00 beta=90.00 gamma=90.00
Closest atoms and distances in Å follow each position.
Space group P4/mmm (No. 123)
Inequivalent atoms, fractional coordinates:
Tb1 0.0000 0.0000 0.0000 [1 per cell]  8 Mn 2.94
Pa1 0.5000 0.5000 0.0000 [1 per cell]  8 Mn 2.94
Mn1 0.0000 0.5000 0.5000 [2 per cell]  4 Tb 2.94, 4 Pa 2.94

As for the energy above the most stable polymorph in this dataset: 0.66 eV per formula unit. For the formation energy, the calculation gives 0.23 eV per atom.



Entry 7:
A plane-wave DFT calculation with GGA-PBE was carried out for an optimized crystal structure of SiPtPb2.

Unit cell a=3.3748 b=3.3748 c=8.0683 alpha=90.00 beta=90.00 gamma=90.00
Closest atoms and distances in Å follow each position.
Space group P4mm (No. 99)
Inequivalent atoms, fractional coordinates:
Si1 0.0000 0.0000 0.0000 [1 per cell]  4 Pt 2.54
Pt1 0.5000 0.5000 0.8908 [1 per cell]  4 Si 2.54
Pb1 0.0000 0.0000 0.6228 [1 per cell]  1 Si 3.04, 4 Pt 3.22, 4 Pb 3.37
Pb2 0.5000 0.5000 0.2661 [1 per cell]  1 Pt 3.03, 4 Si 3.21, 4 Pb 3.37

Its uncorrected formation energy is -0.097 eV/atom.



Entry 8:
A plane-wave DFT calculation with GGA-PBE was carried out for an optimized crystal structure of Ca2YAu2.

Unit cell a=4.5180 b=4.5180 c=13.3639 alpha=90.00 beta=90.00 gamma=90.00
Closest atoms and distances in Å follow each position.
Space group I4/mmm (No. 139)
Inequivalent atoms, fractional coordinates:
Ca1 0.0000 0.5000 0.2500 [4 per cell]  4 Au 3.00, 4 Ca 3.19
Y1 0.0000 0.0000 0.0000 [2 per cell]  8 Au 3.47
Au1 0.0000 0.0000 0.3980 [4 per cell]  1 Au 2.73, 4 Ca 3.00

As for the energy above the most stable polymorph in this dataset: 1.24 eV per formula unit. For the formation energy, the calculation gives -0.44 eV per atom.



Entry 9:
A plane-wave DFT calculation with GGA-PBE was carried out for an optimized crystal structure of MgTi2O5.

Unit cell a=3.3743 b=12.1563 c=4.8965 alpha=90.00 beta=90.00 gamma=90.00
Closest atoms and distances in Å follow each position.
Space group Pmmn (No. 59, origin choice 2)
Inequivalent atoms, fractional coordinates:
Mg1 0.2500 0.2500 0.0937 [2 per cell]  6 O 2.27-2.30
Ti1 0.2500 0.6053 0.4304 [4 per cell]  4 O 1.74-1.94
O1 0.2500 0.0702 0.4138 [4 per cell]  2 Ti 1.90
O2 0.2500 0.6437 0.0885 [4 per cell]  1 Ti 1.74
O3 0.2500 0.7500 0.5975 [2 per cell]  2 Ti 1.94

As for the energy above the most stable polymorph in this dataset: 1.12 eV per formula unit. Its uncorrected formation energy is -2.850 eV/atom.



Entry 10:
A plane-wave DFT calculation with GGA-PBE was carried out for an optimized crystal structure of YScSe3.

Unit cell a=13.1438 b=13.1438 c=13.1438 alpha=90.00 beta=90.00 gamma=90.00
Closest atoms and distances in Å follow each position.
Space group Fd-3m (No. 227, origin choice 2)
Inequivalent atoms, fractional coordinates:
Y1 0.0000 0.0000 0.0000 [16 per cell]  6 Se 2.96
Sc1 0.0000 0.0000 0.5000 [16 per cell]  6 Se 2.74
Se1 0.1103 0.3750 0.8750 [48 per cell]  2 Sc 2.74, 2 Y 2.96

Its uncorrected formation energy is -1.331 eV/atom.